*A*
SrNiP2Cl | PBE | relaxed

It has space group P4/mmm (No. 123), with a = 4.270 Å, b = 4.270 Å, c = 6.185 Å, α = 90.00°, β = 90.00° and γ = 90.00°. Symmetry generates all atoms from Sr at (0.000, 0.000, 0.000), Ni at (0.500, 0.500, 0.500), P at (0.000, 0.500, 0.500) and Cl at (0.500, 0.500, 0.000).

=====

*B*
SrNiP2Cl | PBE | relaxed

It has space group P4/mmm (No. 123), with a = 5.627 Å, b = 5.627 Å, c = 5.351 Å, α = 90.00°, β = 90.00° and γ = 90.00°. Symmetry generates all atoms from Sr at (0.000, 0.000, 0.000), Ni at (0.500, 0.500, 0.500), P at (0.000, 0.500, 0.000) and Cl at (0.000, 0.000, 0.500).

=====

Q: Which of them is the least stable? A: *B*.

=====

*A*
TaNiP2Cl | PBE | relaxed

It has space group P4/mmm (No. 123), with a = 4.394 Å, b = 4.394 Å, c = 4.343 Å, α = 90.00°, β = 90.00° and γ = 90.00°. Symmetry generates all atoms from Ta at (0.000, 0.000, 0.000), Ni at (0.500, 0.500, 0.500), P at (0.000, 0.500, 0.500) and Cl at (0.500, 0.500, 0.000).

=====

*B*
TaNiP2Cl | PBE | relaxed

It has space group P4/mmm (No. 123), with a = 4.850 Å, b = 4.850 Å, c = 4.730 Å, α = 90.00°, β = 90.00° and γ = 90.00°. Symmetry generates all atoms from Ta at (0.000, 0.000, 0.000), Ni at (0.500, 0.500, 0.500), P at (0.000, 0.500, 0.000) and Cl at (0.000, 0.000, 0.500).

=====

Q: Which of them is the least stable? A: *A*.

=====

*A*
TaNiPCl2 | PBE | relaxed

It has space group P4/mmm (No. 123), with a = 4.330 Å, b = 4.330 Å, c = 4.812 Å, α = 90.00°, β = 90.00° and γ = 90.00°. Symmetry generates all atoms from Ta at (0.000, 0.000, 0.000), Ni at (0.500, 0.500, 0.500), P at (0.500, 0.500, 0.000) and Cl at (0.000, 0.500, 0.500).

=====

*B*
TaNiPCl2 | PBE | relaxed

It has space group P4/mmm (No. 123), with a = 4.738 Å, b = 4.738 Å, c = 4.990 Å, α = 90.00°, β = 90.00° and γ = 90.00°. Symmetry generates all atoms from Ta at (0.000, 0.000, 0.000), Ni at (0.500, 0.500, 0.500), P at (0.000, 0.000, 0.500) and Cl at (0.000, 0.500, 0.000).

=====

Q: Which of them is the least stable? A: *A*.